# 1
Material: Pm3DyBi3
Method: DFT, PBE
State: optimized geometry

Cell: 9.571 9.571 9.571 Å, 90.00 90.00 90.00°
Space group P2_13 (No. 198)
Unique sites:
1 Pm 0.069 0.431 0.569 x4
2 Pm 0.177 0.823 0.323 x4
3 Pm 0.178 0.178 0.178 x4
4 Dy 0.073 0.573 0.927 x4
5 Bi 0.002 0.255 0.873 x12

Values from the calculation:
The energy above the most stable polymorph in this dataset comes out at 0.000 eV/atom. The formation enthalpy at 0 K is -5.58 eV per formula unit.

# 2
Material: Pm2Dy5Bi5
Method: DFT, PBE
State: optimized geometry

Cell: 14.548 4.453 12.875 Å, 90.00 108.47 90.00°
Space group C2/m (No. 12)
Unique sites:
1 Pm 0.041 0.000 0.279 x4
2 Dy 0.000 0.500 0.000 x2
3 Dy 0.160 0.500 0.535 x4
4 Dy 0.213 0.500 0.837 x4
5 Bi 0.000 0.000 0.500 x2
6 Bi 0.125 0.000 0.944 x4
7 Bi 0.203 0.500 0.294 x4

Values from the calculation:
The formation enthalpy at 0 K is -7.14 eV per formula unit.

# 3
Material: PmDy2Bi
Method: DFT, PBE
State: optimized geometry

Cell: 4.914 4.914 4.871 Å, 90.00 90.00 90.00°
Space group P4/mmm (No. 123)
Unique sites:
1 Pm 0.000 0.000 0.000 x1
2 Dy 0.000 0.500 0.500 x2
3 Bi 0.500 0.500 0.000 x1

Values from the calculation:
The energy above the most stable polymorph in this dataset comes out at 0.089 eV/atom. The formation enthalpy at 0 K is -1.47 eV per formula unit.

# 4
Material: PmDy2Bi2
Method: DFT, PBE
State: optimized geometry

Cell: 10.702 12.407 6.127 Å, 90.00 124.20 90.00°
Space group C2/c (No. 15)
Unique sites:
1 Pm 0.000 0.095 0.250 x4
2 Dy 0.181 0.409 0.980 x8
3 Bi 0.000 0.182 0.750 x4
4 Bi 0.000 0.369 0.250 x4

Values from the calculation:
The formation enthalpy at 0 K is -2.29 eV per formula unit.